First-principles (PBE) data for a relaxed structure of Ca2CeMg, as listed in Alexandria.

Unit cell a=5.438 b=5.039 c=5.039 alpha=90.00 beta=90.00 gamma=90.00
Each line ends with the local moment (μB).
Fractional coordinates of all 4 atoms:
Mg 0.500 0.000 0.000  0.01
Ca 0.000 0.000 0.500  0.01
Ca 0.000 0.500 0.000  0.01
Ce 0.500 0.500 0.500  1.05

Results
formation energy: 0.70 eV per formula unit
E_tot: -2.71 eV per atom
polymorph energy (0 for the lowest one): 0.048 eV/atom
SG: P4/mmm, No. 123
ρ: 2.94 Mg/m³
Fermi-level density of states: 2.696 states/eV/atom

=====

First-principles (PBE) data for a relaxed structure of CaCe2MgN4, as listed in Alexandria.

Unit cell a=7.004 b=7.004 c=6.894 alpha=119.48 beta=119.48 gamma=90.96
Fractional coordinates of all 16 atoms:
Mg 0.500 0.500 0.500
N 0.254 0.778 0.516
N 0.257 0.243 0.506
N 0.722 0.246 0.984
N 0.257 0.243 0.994
Ca 0.000 0.500 0.500
Ce 0.000 0.000 0.500
Mg 0.000 0.000 0.000
N 0.743 0.757 0.006
Ca 0.000 0.500 0.000
N 0.746 0.222 0.484
N 0.743 0.757 0.494
Ce 0.500 0.500 0.000
Ce 0.500 0.000 0.000
Ce 0.500 0.000 0.500
N 0.278 0.754 0.016

Results
E_tot: -7.27 eV per atom
E_form (uncorrected): -1.173 eV/atom
SG: Imma, No. 74
ρ: 5.52 Mg/m³

=====

First-principles (PBE) data for a relaxed structure of Ca3Ce2MgP6, as listed in Alexandria.

Unit cell a=7.031 b=7.031 c=7.120 alpha=99.42 beta=99.42 gamma=120.10
Fractional coordinates of all 12 atoms:
P 0.078 0.414 0.234
P 0.586 0.922 0.766
P 0.922 0.586 0.766
Ce 0.666 0.334 0.000
Mg 0.000 0.000 0.000
P 0.414 0.078 0.234
P 0.257 0.257 0.765
Ca 0.835 0.165 0.500
Ca 0.500 0.500 0.500
P 0.743 0.743 0.235
Ce 0.334 0.666 0.000
Ca 0.165 0.835 0.500

Results
formation energy: -11.90 eV per formula unit
E_tot: -5.32 eV per atom
SG: C2/m, No. 12
ρ: 3.52 Mg/m³
Fermi-level density of states: 1.556 states/eV/atom

=====

| no. | magnetization (μB per formula unit) |
| --- | --- |
| 1 | 1.456 |
| 2 | 0.000 |
| 3 | 0.001 |